# Sm2BeFePt6

An optimized crystal structure of Sm2BeFePt6 (PBE, Alexandria).

Results
- SG: R-3m
- E: -0.239 hartree per atom

a = 5.6875 Å, b = 7.4287 Å, c = 7.4285 Å
α = 45.02°, β = 67.49°, γ = 90.00°
Last column: nearest neighbours and their distance in Å.
Positions (direct):
Pt1 0.2594 0.2300 0.4812  1 Be 2.19
Pt2 0.2593 0.7406 0.9707  1 Be 2.19
Pt3 0.7407 0.2594 0.0294  1 Be 2.19
Pt4 0.7699 0.7406 0.9707  1 Be 2.19
Pt5 0.2301 0.2594 0.0293  1 Be 2.19
Pt6 0.7406 0.7700 0.5188  1 Be 2.19
Fe1 0.0000 0.0000 0.0000  6 Pt 2.51
Sm1 0.2900 0.7101 0.4201  9 Pt 3.03-3.26, 3 Fe 3.40
Sm2 0.7100 0.2899 0.5799  9 Pt 3.03-3.26, 3 Fe 3.40
Be1 0.5000 0.5000 0.0000  6 Pt 2.19

=====

# KH6Se2

An optimized crystal structure of KH6Se2 (PBE, Alexandria).

Results
- SG: Immm
- E: -0.116 hartree per atom

a = 5.9725 Å, b = 5.6990 Å, c = 5.6990 Å
α = 70.70°, β = 58.40°, γ = 58.40°
Last column: nearest neighbours and their distance in Å.
Positions (direct):
Se1 0.2273 0.2727 0.2727  2 H 1.59
Se2 0.7727 0.7273 0.7273  2 H 1.59
H1 0.5000 0.4425 0.5575  1 H 0.76
H2 0.4015 0.9479 0.2492  1 H 1.40
H3 0.5985 0.7508 0.0521  1 H 1.40
H4 0.5000 0.5575 0.4425  1 H 0.76
H5 0.5985 0.0521 0.7508  1 H 1.40
H6 0.4015 0.2492 0.9479  1 H 1.40
K1 0.0000 0.0000 0.0000  12 H 3.22-3.58, 4 Se 3.56

=====

# ErTmInOs

An optimized crystal structure of ErTmInOs (PBE, Alexandria).

Results
- SG: F-43m
- E: -0.222 hartree per atom

a = 4.9846 Å, b = 4.9846 Å, c = 4.9846 Å
α = 60.00°, β = 60.00°, γ = 60.00°
Last column: nearest neighbours and their distance in Å.
Positions (direct):
In1 0.0000 0.0000 0.0000  4 Er 3.05, 4 Tm 3.05
Os1 0.5000 0.5000 0.5000  4 Tm 3.05, 4 Er 3.05
Er1 0.2500 0.2500 0.2500  4 Os 3.05, 4 In 3.05
Tm1 0.7500 0.7500 0.7500  4 In 3.05, 4 Os 3.05

=====

# Rb3LaU2Te6

An optimized crystal structure of Rb3LaU2Te6 (PBE, Alexandria).

Results
- SG: C2/m
- Raw formation energy: -1.043 eV/atom
- E: -0.189 hartree per atom

a = 7.9951 Å, b = 7.9951 Å, c = 8.9894 Å
α = 98.52°, β = 98.52°, γ = 120.01°
Last column: nearest neighbours and their distance in Å.
Positions (direct):
Te1 0.5898 0.9318 0.7960  2 U 3.16, 1 La 3.25
Te2 0.4102 0.0682 0.2040  2 U 3.16, 1 La 3.25
Te3 0.9318 0.5898 0.7960  2 U 3.16, 1 La 3.25
Te4 0.0682 0.4102 0.2040  2 U 3.16, 1 La 3.25
Te5 0.2746 0.2746 0.7970  2 U 3.16, 1 La 3.24
Te6 0.7254 0.7254 0.2030  2 U 3.16, 1 La 3.24
Rb1 0.1643 0.8357 0.5000  6 Te 3.65-3.71
Rb2 0.8357 0.1643 0.5000  6 Te 3.65-3.71
Rb3 0.5000 0.5000 0.5000  6 Te 3.64-3.71
La1 0.0000 0.0000 0.0000  6 Te 3.24-3.25
U1 0.3330 0.6670 0.0000  6 Te 3.16
U2 0.6670 0.3330 0.0000  6 Te 3.16

=====

# Na2TmZrS4

An optimized crystal structure of Na2TmZrS4 (PBE, Alexandria).

Results
- SG: P2/m
- Raw formation energy: -1.644 eV/atom
- E: -0.208 hartree per atom

a = 3.7912 Å, b = 6.6273 Å, c = 7.0842 Å
α = 107.95°, β = 90.00°, γ = 90.00°
Last column: nearest neighbours and their distance in Å.
Positions (direct):
Na1 0.5000 0.0000 0.5000  6 S 2.90-2.91
Na2 0.0000 0.5000 0.5000  6 S 2.85
S1 0.0000 0.2649 0.7761  2 Zr 2.65, 1 Tm 2.70, 3 Na 2.85-2.90
S2 0.0000 0.7351 0.2239  2 Zr 2.65, 1 Tm 2.70, 3 Na 2.85-2.90
S3 0.5000 0.7505 0.7740  1 Zr 2.64, 2 Tm 2.69, 3 Na 2.85-2.91
S4 0.5000 0.2495 0.2260  1 Zr 2.64, 2 Tm 2.69, 3 Na 2.85-2.91
Tm1 0.0000 0.0000 0.0000  6 S 2.69-2.70
Zr1 0.5000 0.5000 0.0000  6 S 2.64-2.65

=====

# LuAg4

An optimized crystal structure of LuAg4 (PBE, Alexandria).

Results
- SG: P-1
- E: -0.125 hartree per atom

a = 4.1468 Å, b = 5.2407 Å, c = 5.2381 Å
α = 80.87°, β = 66.65°, γ = 66.61°
Last column: nearest neighbours and their distance in Å.
Positions (direct):
Ag1 0.8025 0.5982 0.7959  9 Ag 2.96-3.07, 3 Lu 3.00-3.04
Ag2 0.4015 0.7955 0.4020  9 Ag 2.96-3.07, 3 Lu 3.00-3.04
Ag3 0.1975 0.4018 0.2041  9 Ag 2.96-3.07, 3 Lu 3.00-3.04
Ag4 0.5985 0.2045 0.5980  9 Ag 2.96-3.07, 3 Lu 3.00-3.04
Lu1 0.0000 0.0000 0.0000  12 Ag 3.00-3.04

=====

# TiBeTe2

An optimized crystal structure of TiBeTe2 (PBE, Alexandria).

Results
- SG: I-42d
- Raw formation energy: -0.194 eV/atom
- E: -0.172 hartree per atom

a = 6.2146 Å, b = 6.2146 Å, c = 7.1577 Å
α = 64.27°, β = 64.27°, γ = 90.00°
Last column: nearest neighbours and their distance in Å.
Positions (direct):
Te1 0.3750 0.4182 0.7500  2 Be 2.46
Te2 0.5818 0.1250 0.2500  2 Be 2.46
Te3 0.8750 0.8318 0.7500  2 Be 2.46
Te4 0.1682 0.6250 0.2500  2 Be 2.46
Ti1 0.0000 0.0000 0.0000  4 Te 2.78
Ti2 0.7500 0.2500 0.5000  4 Te 2.78
Be1 0.5000 0.5000 0.0000  4 Te 2.46
Be2 0.2500 0.7500 0.5000  4 Te 2.46

=====

# Pm3Nd8

An optimized crystal structure of Pm3Nd8 (PBE, Alexandria).

Results
- E above lowest polymorph: 0 meV per atom
- SG: C2/m
- E: -0.175 hartree per atom

a = 5.1808 Å, b = 6.3823 Å, c = 13.2497 Å
α = 103.82°, β = 90.00°, γ = 113.95°
Last column: nearest neighbours and their distance in Å.
Positions (direct):
Nd1 0.4546 0.9091 0.1818  4 Pm 3.67, 8 Nd 3.68-3.69
Nd2 0.6363 0.2727 0.4546  5 Pm 3.67-3.69, 7 Nd 3.67-3.68
Nd3 0.5454 0.0909 0.8182  4 Pm 3.67, 8 Nd 3.68-3.69
Nd4 0.3637 0.7273 0.5454  5 Pm 3.67-3.69, 7 Nd 3.67-3.68
Nd5 0.1819 0.3637 0.2727  8 Nd 3.67-3.68, 4 Pm 3.68
Nd6 0.2726 0.5451 0.9091  8 Nd 3.67-3.69, 4 Pm 3.68
Nd7 0.7274 0.4549 0.0909  8 Nd 3.67-3.69, 4 Pm 3.68
Nd8 0.8181 0.6363 0.7273  8 Nd 3.67-3.68, 4 Pm 3.68
Pm1 0.0000 0.0000 0.0000  12 Nd 3.67-3.68
Pm2 0.0907 0.1813 0.6360  11 Nd 3.67-3.69, 1 Pm 3.67
Pm3 0.9093 0.8187 0.3640  11 Nd 3.67-3.69, 1 Pm 3.67

=====

# YNbRu2

An optimized crystal structure of YNbRu2 (PBE, Alexandria).

Results
- SG: I-42d
- E: -0.315 hartree per atom

a = 7.1901 Å, b = 7.1901 Å, c = 5.9172 Å
α = 52.59°, β = 52.59°, γ = 90.00°
Last column: nearest neighbours and their distance in Å.
Positions (direct):
Ru1 0.3750 0.3391 0.7500  2 Nb 2.48
Ru2 0.6609 0.1250 0.2500  2 Nb 2.48
Ru3 0.8750 0.9109 0.7500  2 Nb 2.48
Ru4 0.0891 0.6250 0.2500  2 Nb 2.48
Y1 0.2500 0.7500 0.5000  4 Ru 2.83, 2 Nb 3.03
Y2 0.5000 0.5000 0.0000  4 Ru 2.83, 2 Nb 3.03
Nb1 0.0000 0.0000 0.0000  4 Ru 2.48
Nb2 0.7500 0.2500 0.5000  4 Ru 2.48

=====

# Ag2GePdSe4

An optimized crystal structure of Ag2GePdSe4 (PBE, Alexandria).

Results
- SG: I-4
- Raw formation energy: -0.144 eV/atom
- E: -0.141 hartree per atom

a = 5.8740 Å, b = 5.8757 Å, c = 7.2397 Å
α = 113.94°, β = 113.94°, γ = 90.00°
Last column: nearest neighbours and their distance in Å.
Positions (direct):
Pd1 0.9860 0.4859 0.9718  4 Se 2.49
Se1 0.8597 0.3876 0.2250  1 Ge 2.45, 1 Pd 2.49, 2 Ag 2.64
Se2 0.6345 0.6122 0.7187  1 Ge 2.45, 1 Pd 2.49, 2 Ag 2.64
Se3 0.3653 0.8373 0.2249  1 Ge 2.45, 1 Pd 2.49, 2 Ag 2.64
Se4 0.0840 0.1064 0.7185  1 Ge 2.45, 1 Pd 2.49, 2 Ag 2.64
Ge1 0.7357 0.7357 0.4718  4 Se 2.45
Ag1 0.2360 0.2359 0.4718  4 Se 2.64
Ag2 0.4859 0.9861 0.9718  4 Se 2.64

=====

# InCoSn2

An optimized crystal structure of InCoSn2 (PBE, Alexandria).

Results
- SG: R-3m
- E: -0.160 hartree per atom

a = 3.3901 Å, b = 3.3901 Å, c = 9.3863 Å
α = 79.60°, β = 79.60°, γ = 60.00°
Last column: nearest neighbours and their distance in Å.
Positions (direct):
Sn1 0.1060 0.1060 0.6821  3 Co 2.57
Sn2 0.8940 0.8940 0.3179  3 Co 2.57
Co1 0.5000 0.5000 0.5000  6 Sn 2.57
In1 0.0000 0.0000 0.0000  2 Sn 2.92